No. 1
DFT (PBEsol) results for In2SbP after structural relaxation.

Output
Space-group type: Pm (6)
Final energy: -0.146 Ha/atom

Cell lengths 3.700, 3.568, 7.513 Å; angles 90.00, 103.93, 90.00 degrees
Atoms (fractional coordinates):
1 In 0.000 0.000 0.000
2 In 0.360 0.500 0.715
3 Sb 0.716 0.000 0.433
4 P 0.586 0.500 0.172

No. 2
DFT (PBEsol) results for CsAg2Se2 after structural relaxation.

Output
Space-group type: I4/mmm (139)
Final energy: -0.129 Ha/atom

Cell lengths 4.338, 4.338, 13.979 Å; angles 90.00, 90.00, 90.00 degrees
Atoms (fractional coordinates):
1 Cs 0.000 0.000 0.000
2 Cs 0.500 0.500 0.500
3 Ag 0.000 0.500 0.250
4 Ag 0.000 0.500 0.750
5 Ag 0.500 0.000 0.250
6 Ag 0.500 0.000 0.750
7 Se 0.000 0.000 0.360
8 Se 0.000 0.000 0.640
9 Se 0.500 0.500 0.140
10 Se 0.500 0.500 0.860

No. 3
DFT (PBEsol) results for AlAg3 after structural relaxation.

Output
Energy of formation from the pure elements: -0.020 eV per atom
Space-group type: Pm-3n (223)

Cell lengths 5.092, 5.092, 5.092 Å; angles 90.00, 90.00, 90.00 degrees
Atoms (fractional coordinates):
1 Al 0.000 0.000 0.000
2 Al 0.500 0.500 0.500
3 Ag 0.000 0.250 0.500
4 Ag 0.000 0.750 0.500
5 Ag 0.250 0.500 0.000
6 Ag 0.500 0.000 0.250
7 Ag 0.500 0.000 0.750
8 Ag 0.750 0.500 0.000

No. 4
DFT (PBEsol) results for BP2N2Cl7 after structural relaxation.

Output
Space-group type: P2_1/c (14)
Final energy: -0.180 Ha/atom

Cell lengths 9.657, 8.379, 15.898 Å; angles 90.00, 112.31, 90.00 degrees
Atoms (fractional coordinates):
1 B 0.100 0.075 0.020
2 B 0.100 0.425 0.520
3 B 0.900 0.575 0.480
4 B 0.900 0.925 0.980
5 P 0.101 0.626 0.665
6 P 0.101 0.874 0.165
7 P 0.333 0.526 0.838
8 P 0.333 0.974 0.338
9 P 0.667 0.026 0.662
10 P 0.667 0.474 0.162
11 P 0.899 0.126 0.835
12 P 0.899 0.374 0.335
13 N 0.033 0.543 0.570
14 N 0.033 0.957 0.070
15 N 0.231 0.522 0.735
16 N 0.231 0.978 0.235
17 N 0.769 0.022 0.765
18 N 0.769 0.478 0.265
19 N 0.967 0.043 0.930
20 N 0.967 0.457 0.430
21 Cl 0.061 0.170 0.789
22 Cl 0.061 0.330 0.289
23 Cl 0.113 0.217 0.562
24 Cl 0.113 0.283 0.062
25 Cl 0.181 0.653 0.160
26 Cl 0.181 0.847 0.660
27 Cl 0.225 0.543 0.921
28 Cl 0.225 0.957 0.421
29 Cl 0.284 0.012 0.019
30 Cl 0.284 0.488 0.519
31 Cl 0.447 0.177 0.369
32 Cl 0.447 0.323 0.869
33 Cl 0.486 0.697 0.875
34 Cl 0.486 0.803 0.375
35 Cl 0.514 0.197 0.625
36 Cl 0.514 0.303 0.125
37 Cl 0.553 0.677 0.131
38 Cl 0.553 0.823 0.631
39 Cl 0.716 0.512 0.481
40 Cl 0.716 0.988 0.981
41 Cl 0.775 0.043 0.579
42 Cl 0.775 0.457 0.079
43 Cl 0.819 0.153 0.340
44 Cl 0.819 0.347 0.840
45 Cl 0.887 0.717 0.938
46 Cl 0.887 0.783 0.438
47 Cl 0.939 0.670 0.711
48 Cl 0.939 0.830 0.211

No. 5
DFT (PBEsol) results for Ba2ZnAu2 after structural relaxation.

Output
Energy of formation from the pure elements: -0.268 eV per atom
Space-group type: I4/mmm (139)

Cell lengths 3.927, 3.927, 18.853 Å; angles 90.00, 90.00, 90.00 degrees
Atoms (fractional coordinates):
1 Ba 0.000 0.000 0.108
2 Ba 0.000 0.000 0.892
3 Ba 0.500 0.500 0.392
4 Ba 0.500 0.500 0.608
5 Zn 0.000 0.000 0.500
6 Zn 0.500 0.500 0.000
7 Au 0.000 0.500 0.250
8 Au 0.000 0.500 0.750
9 Au 0.500 0.000 0.250
10 Au 0.500 0.000 0.750

No. 6
DFT (PBEsol) results for ScZn2Au2 after structural relaxation.

Output
Energy of formation from the pure elements: -0.466 eV per atom
Space-group type: I4/mmm (139)

Cell lengths 3.657, 3.657, 12.982 Å; angles 90.00, 90.00, 90.00 degrees
Atoms (fractional coordinates):
1 Sc 0.000 0.000 0.000
2 Sc 0.500 0.500 0.500
3 Zn 0.000 0.500 0.250
4 Zn 0.000 0.500 0.750
5 Zn 0.500 0.000 0.250
6 Zn 0.500 0.000 0.750
7 Au 0.000 0.000 0.396
8 Au 0.000 0.000 0.604
9 Au 0.500 0.500 0.104
10 Au 0.500 0.500 0.896

No. 7
DFT (PBEsol) results for Ca2ScPb after structural relaxation.

Output
Energy of formation from the pure elements: -0.191 eV per atom
Space-group type: I4/mmm (139)

Cell lengths 4.639, 4.639, 10.328 Å; angles 90.00, 90.00, 90.00 degrees
Atoms (fractional coordinates):
1 Ca 0.000 0.500 0.250
2 Ca 0.000 0.500 0.750
3 Ca 0.500 0.000 0.250
4 Ca 0.500 0.000 0.750
5 Sc 0.000 0.000 0.000
6 Sc 0.500 0.500 0.500
7 Pb 0.000 0.000 0.500
8 Pb 0.500 0.500 0.000

No. 8
DFT (PBEsol) results for CaBiSe2 after structural relaxation.

Output
Space-group type: I-42d (122)
Final energy: -0.158 Ha/atom

Cell lengths 5.945, 5.945, 15.592 Å; angles 90.00, 90.00, 90.00 degrees
Atoms (fractional coordinates):
1 Ca 0.000 0.000 0.000
2 Ca 0.000 0.500 0.250
3 Ca 0.500 0.000 0.750
4 Ca 0.500 0.500 0.500
5 Bi 0.000 0.000 0.500
6 Bi 0.000 0.500 0.750
7 Bi 0.500 0.000 0.250
8 Bi 0.500 0.500 0.000
9 Se 0.248 0.250 0.125
10 Se 0.250 0.748 0.375
11 Se 0.250 0.752 0.875
12 Se 0.252 0.250 0.625
13 Se 0.748 0.750 0.625
14 Se 0.750 0.248 0.875
15 Se 0.750 0.252 0.375
16 Se 0.752 0.750 0.125

No. 9
DFT (PBEsol) results for ZrPH2Pb after structural relaxation.

Output
Space-group type: P4/mmm (123)
Final energy: -0.183 Ha/atom

Cell lengths 3.715, 3.715, 6.279 Å; angles 90.00, 90.00, 90.00 degrees
Atoms (fractional coordinates):
1 Zr 0.000 0.000 0.000
2 P 0.500 0.500 0.000
3 H 0.000 0.500 0.500
4 H 0.500 0.000 0.500
5 Pb 0.000 0.000 0.500

No. 10
DFT (PBEsol) results for Li2TeMo after structural relaxation.

Output
Space-group type: P4/mmm (123)
Final energy: -0.164 Ha/atom

Cell lengths 2.849, 2.849, 9.121 Å; angles 90.00, 90.00, 90.00 degrees
Atoms (fractional coordinates):
1 Li 0.000 0.000 0.234
2 Li 0.000 0.000 0.766
3 Te 0.500 0.500 0.500
4 Mo 0.500 0.500 0.000

No. 11
DFT (PBEsol) results for K2Pr4Cl9O2 after structural relaxation.

Output
Space-group type: P2_1/m (11)
Final energy: -0.201 Ha/atom

Cell lengths 8.377, 11.281, 9.453 Å; angles 90.00, 104.61, 90.00 degrees
Atoms (fractional coordinates):
1 K 0.231 0.021 0.439
2 K 0.231 0.479 0.439
3 K 0.769 0.521 0.561
4 K 0.769 0.979 0.561
5 Pr 0.284 0.046 0.957
6 Pr 0.284 0.454 0.957
7 Pr 0.383 0.750 0.162
8 Pr 0.385 0.750 0.784
9 Pr 0.615 0.250 0.216
10 Pr 0.617 0.250 0.838
11 Pr 0.716 0.546 0.043
12 Pr 0.716 0.954 0.043
13 Cl 0.106 0.594 0.121
14 Cl 0.106 0.906 0.121
15 Cl 0.119 0.586 0.704
16 Cl 0.119 0.914 0.704
17 Cl 0.253 0.250 0.759
18 Cl 0.255 0.250 0.138
19 Cl 0.358 0.750 0.468
20 Cl 0.494 0.501 0.279
21 Cl 0.494 0.999 0.279
22 Cl 0.506 0.001 0.721
23 Cl 0.506 0.499 0.721
24 Cl 0.642 0.250 0.532
25 Cl 0.745 0.750 0.862
26 Cl 0.747 0.750 0.241
27 Cl 0.881 0.086 0.296
28 Cl 0.881 0.414 0.296
29 Cl 0.894 0.094 0.879
30 Cl 0.894 0.406 0.879
31 O 0.450 0.622 0.988
32 O 0.450 0.878 0.988
33 O 0.550 0.122 0.012
34 O 0.550 0.378 0.012